Compound: Ac2ZrRu3O12
Source: Alexandria via LeMat-Bulk
Functional: PBE
Structure: relaxed

Summary:
Symmetry: No. 166

Lattice parameters (Å, degrees): 6.829 6.829 6.829 63.34 63.34 63.34
Element x y z (fractional)
Ac: 0.123 0.123 0.123
Ac: 0.877 0.877 0.877
Zr: 0.500 0.500 0.500
Ru: 0.000 0.500 0.500
Ru: 0.500 0.000 0.500
Ru: 0.500 0.500 0.000
O: 0.109 0.630 0.630
O: 0.208 0.208 0.616
O: 0.208 0.616 0.208
O: 0.370 0.370 0.891
O: 0.370 0.891 0.370
O: 0.384 0.792 0.792
O: 0.616 0.208 0.208
O: 0.630 0.109 0.630
O: 0.630 0.630 0.109
O: 0.792 0.384 0.792
O: 0.792 0.792 0.384
O: 0.891 0.370 0.370

=====

Compound: Tb6Dy6Ho
Source: Alexandria via LeMat-Bulk
Functional: PBE
Structure: relaxed

Summary:
Symmetry: No. 65
Formation energy from the elements in eV/atom: 0.235

Lattice parameters (Å, degrees): 6.525 6.525 11.061 90.00 90.00 115.32
Element x y z (fractional)
Tb: 0.000 0.000 0.168
Tb: 0.000 0.000 0.832
Tb: 0.263 0.737 0.000
Tb: 0.356 0.644 0.500
Tb: 0.644 0.356 0.500
Tb: 0.737 0.263 0.000
Dy: 0.000 0.500 0.276
Dy: 0.000 0.500 0.724
Dy: 0.500 0.000 0.276
Dy: 0.500 0.000 0.724
Dy: 0.500 0.500 0.197
Dy: 0.500 0.500 0.803
Ho: 0.000 0.000 0.500

=====

Compound: RbZr2Hg2
Source: Alexandria via LeMat-Bulk
Functional: PBE
Structure: relaxed

Summary:
Energy above the most stable polymorph in this dataset in meV/atom: 0
Symmetry: No. 127
Formation energy from the elements in eV/atom: 0.155

Lattice parameters (Å, degrees): 9.111 9.111 3.143 90.00 90.00 90.00
Element x y z (fractional)
Rb: 0.000 0.000 0.000
Rb: 0.500 0.500 0.000
Zr: 0.117 0.383 0.000
Zr: 0.383 0.883 0.000
Zr: 0.617 0.117 0.000
Zr: 0.883 0.617 0.000
Hg: 0.177 0.677 0.500
Hg: 0.323 0.177 0.500
Hg: 0.677 0.823 0.500
Hg: 0.823 0.323 0.500

=====

Compound: TiRhO3
Source: Alexandria via LeMat-Bulk
Functional: PBE
Structure: relaxed

Summary:
Symmetry: No. 221

Lattice parameters (Å, degrees): 3.830 3.830 3.830 90.00 90.00 90.00
Element x y z (fractional)
Ti: 0.000 0.000 0.000
Rh: 0.500 0.500 0.500
O: 0.000 0.000 0.500
O: 0.000 0.500 0.000
O: 0.500 0.000 0.000

=====

Compound: YTiHg2Ru
Source: Alexandria via LeMat-Bulk
Functional: PBE
Structure: relaxed

Summary:
Symmetry: No. 123
Formation energy from the elements in eV/atom: 0.196

Lattice parameters (Å, degrees): 5.258 5.258 4.446 90.00 90.00 90.00
Element x y z (fractional)
Y: 0.000 0.000 0.000
Ti: 0.500 0.500 0.000
Hg: 0.000 0.500 0.500
Hg: 0.500 0.000 0.500
Ru: 0.500 0.500 0.500

=====

Compound: CuAg2Te
Source: Alexandria via LeMat-Bulk
Functional: PBE
Structure: relaxed

Summary:
Energy above the most stable polymorph in this dataset in meV/atom: 74
Symmetry: No. 10

Lattice parameters (Å, degrees): 3.131 4.808 5.529 90.00 97.81 90.00
Element x y z (fractional)
Cu: 0.000 0.000 0.000
Ag: 0.199 0.500 0.787
Ag: 0.801 0.500 0.213
Te: 0.000 0.000 0.500

=====

Compound: Sm2Al3ZnPt4
Source: Alexandria via LeMat-Bulk
Functional: PBE
Structure: relaxed

Summary:
Symmetry: No. 115
Formation energy from the elements in eV/atom: -1.038

Lattice parameters (Å, degrees): 4.241 4.241 10.538 90.00 90.00 90.00
Element x y z (fractional)
Sm: 0.000 0.500 0.249
Sm: 0.500 0.000 0.751
Al: 0.000 0.000 0.000
Al: 0.000 0.500 0.628
Al: 0.500 0.000 0.372
Zn: 0.500 0.500 0.000
Pt: 0.000 0.000 0.500
Pt: 0.000 0.500 0.862
Pt: 0.500 0.000 0.138
Pt: 0.500 0.500 0.500

=====

Compound: LaSb2
Source: Alexandria via LeMat-Bulk
Functional: PBE
Structure: relaxed

Summary:
Symmetry: No. 164

Lattice parameters (Å, degrees): 3.682 3.682 7.621 90.00 90.00 120.00
Element x y z (fractional)
La: 0.000 0.000 0.000
Sb: 0.333 0.667 0.345
Sb: 0.667 0.333 0.655

=====

Compound: MgSeI
Source: Alexandria via LeMat-Bulk
Functional: PBE
Structure: relaxed

Summary:
Energy above the most stable polymorph in this dataset in meV/atom: 27
Symmetry: No. 8

Lattice parameters (Å, degrees): 7.615 7.615 4.203 105.53 105.53 114.43
Element x y z (fractional)
Mg: 0.143 0.857 0.000
Mg: 0.857 0.143 0.000
Se: 0.106 0.106 0.661
Se: 0.802 0.802 0.104
I: 0.194 0.607 0.421
I: 0.607 0.194 0.421

=====

Compound: ZnCr2Fe
Source: Alexandria via LeMat-Bulk
Functional: PBE
Structure: relaxed

Summary:
Symmetry: No. 8
Formation energy from the elements in eV/atom: 0.232

Lattice parameters (Å, degrees): 4.406 4.406 4.701 94.22 94.22 31.96
Element x y z (fractional)
Zn: 0.000 0.000 0.000
Cr: 0.252 0.252 0.736
Cr: 0.492 0.492 0.499
Fe: 0.746 0.746 0.240

=====

Compound: CaBr2
Source: Alexandria via LeMat-Bulk
Functional: PBE
Structure: relaxed

Summary:
Symmetry: No. 194

Lattice parameters (Å, degrees): 4.958 4.958 8.616 90.00 90.00 120.00
Element x y z (fractional)
Ca: 0.333 0.667 0.250
Ca: 0.667 0.333 0.750
Br: 0.000 0.000 0.000
Br: 0.000 0.000 0.500
Br: 0.333 0.667 0.750
Br: 0.667 0.333 0.250

=====

Compound: LiTh3H
Source: Alexandria via LeMat-Bulk
Functional: PBE
Structure: relaxed

Summary:
Symmetry: No. 221

Lattice parameters (Å, degrees): 4.987 4.987 4.987 90.00 90.00 90.00
Element x y z (fractional)
Li: 0.000 0.000 0.000
Th: 0.000 0.500 0.500
Th: 0.500 0.000 0.500
Th: 0.500 0.500 0.000
H: 0.500 0.500 0.500

=====

E_tot values, unit eV/cell, following the record order: -136.4, -56.9, -35.8, -36.9, -23.3, -12.2, -56.5, -13.8, -18.2, -28.1, -21.1, -27.1.
Theoretical density values, unit g/cm³, following the record order: 7.14, 8.17, 8.52, 5.87, 8.63, 8.20, 10.75, 7.10, 3.96, 7.77, 3.62, 9.42.